# GGA+U Na5TbMo4O16, optimized geometry
# Crystal system: tetragonal
# Spin magnetization: 0.00 μB/f.u.
# DOS(E_F): 0.00 states/eV per cell
# SG: I4_1/a (88)
# VASP energy: -341.43 eV for the cell shown
data_Na5TbMo4O16
_chemical_formula_sum 'Na10 Tb2 Mo8 O32'
_cell_length_a 10.0273
_cell_length_b 10.0273
_cell_length_c 10.0273
_cell_angle_alpha 109.40
_cell_angle_beta 109.40
_cell_angle_gamma 109.61
_symmetry_space_group_name_H-M 'P 1'
_symmetry_Int_Tables_number 1
_symmetry_space_group_name_Hall 'P 1'
loop_
_atom_site_label
_atom_site_type_symbol
_atom_site_fract_x
_atom_site_fract_y
_atom_site_fract_z
O1 O 0.9903 0.3937 0.7625
O2 O 0.3224 0.9282 0.9609
O3 O 0.5540 0.6033 0.8284
O4 O 0.6312 0.2277 0.2375
O5 O 0.4273 0.7497 0.3812
O6 O 0.1782 0.7173 0.1059
O7 O 0.2827 0.3885 0.4609
O8 O 0.3967 0.2252 0.9508
O9 O 0.9756 0.3040 0.4508
Na1 Na 0.0889 0.6717 0.8247
Mo1 Mo 0.5800 0.1675 0.7749
O10 O 0.8227 0.0003 0.1188
O11 O 0.6437 0.3812 0.9035
Na2 Na 0.4030 0.4858 0.3247
Mo2 Mo 0.1948 0.4200 0.5874
O12 O 0.9997 0.1185 0.8223
Mo3 Mo 0.8574 0.9448 0.2749
Tb1 Tb 0.7500 0.2500 0.5000
O13 O 0.2961 0.1773 0.1777
Na3 Na 0.2500 0.7500 0.5000
O14 O 0.8815 0.7039 0.8812
Na4 Na 0.0000 0.0000 0.0000
O15 O 0.8533 0.5248 0.5492
Mo4 Mo 0.0552 0.3300 0.9126
O16 O 0.6385 0.6776 0.6059
Tb2 Tb 0.5000 0.5000 0.0000
Mo5 Mo 0.3926 0.8052 0.2251
O17 O 0.9673 0.3615 0.0391
O18 O 0.2597 0.3563 0.7375
O19 O 0.6063 0.3688 0.5965
O20 O 0.9539 0.5727 0.3223
Na5 Na 0.1611 0.0783 0.6753
Na6 Na 0.7358 0.9111 0.5828
O21 O 0.6960 0.1467 0.6716
O22 O 0.6115 0.0724 0.8941
O23 O 0.2503 0.6315 0.6777
O24 O 0.4752 0.0244 0.3284
O25 O 0.7748 0.7256 0.1716
Mo6 Mo 0.6700 0.5825 0.7251
O26 O 0.0718 0.0327 0.3941
Na7 Na 0.9217 0.5970 0.0828
O27 O 0.6188 0.5223 0.2625
O28 O 0.2744 0.4460 0.0492
Na8 Na 0.8470 0.2642 0.1753
Mo7 Mo 0.8325 0.6074 0.4126
O29 O 0.3685 0.0461 0.6188
Mo8 Mo 0.4175 0.1426 0.0874
O30 O 0.4777 0.7403 0.0965
O31 O 0.9276 0.8218 0.5391
Na9 Na 0.3283 0.1530 0.4172
O32 O 0.7723 0.0097 0.4035
Na10 Na 0.5142 0.8389 0.9172